[1]
PBE NdCuAgGe2, relaxed; raw total energy = -4.561 eV per atom
1.0
-2.119 2.119 5.375
2.119 -2.119 5.375
2.119 2.119 -5.375
Nd Cu Ag Ge
1 1 1 2
direct
0.000 0.000 0.000 Nd
0.250 0.750 0.500 Cu
0.750 0.250 0.500 Ag
0.385 0.385 0.000 Ge
0.615 0.615 0.000 Ge

[2]
PBE Nd2CuAgGe2, relaxed; raw total energy = -4.836 eV per atom
1.0
4.456 0.000 0.000
-2.228 3.859 0.000
0.000 0.000 7.615
Nd Cu Ag Ge
2 1 1 2
direct
0.000 0.000 0.000 Nd
0.000 0.000 0.490 Nd
0.667 0.333 0.270 Cu
0.333 0.667 0.771 Ag
0.333 0.667 0.218 Ge
0.667 0.333 0.708 Ge

[3]
PBE CuNiAgGe, relaxed; polymorph energy (0 for the lowest one) = 0 meV/atom; raw total energy = -4.123 eV per atom
1.0
0.000 3.041 3.041
3.041 0.000 3.041
3.041 3.041 0.000
Cu Ni Ag Ge
1 1 1 1
direct
0.000 0.000 0.000 Cu
0.500 0.500 0.500 Ni
0.250 0.250 0.250 Ag
0.750 0.750 0.750 Ge

[4]
PBE CuNiAgGe, relaxed; polymorph energy (0 for the lowest one) = 118 meV/atom; raw total energy = -4.005 eV per atom
1.0
0.000 3.059 3.059
3.059 0.000 3.059
3.059 3.059 0.000
Cu Ni Ag Ge
1 1 1 1
direct
0.000 0.000 0.000 Cu
0.250 0.250 0.250 Ni
0.500 0.500 0.500 Ag
0.750 0.750 0.750 Ge

[5]
PBE CuAgGeOs, relaxed; polymorph energy (0 for the lowest one) = 0 meV/atom; raw total energy = -5.167 eV per atom
1.0
0.000 3.096 3.096
3.096 0.000 3.096
3.096 3.096 0.000
Cu Ag Ge Os
1 1 1 1
direct
0.000 0.000 0.000 Cu
0.250 0.250 0.250 Ag
0.750 0.750 0.750 Ge
0.500 0.500 0.500 Os

[6]
PBE CuAgGePd, relaxed; polymorph energy (0 for the lowest one) = 0 meV/atom; raw total energy = -4.142 eV per atom
1.0
0.000 3.141 3.141
3.141 0.000 3.141
3.141 3.141 0.000
Cu Ag Ge Pd
1 1 1 1
direct
0.000 0.000 0.000 Cu
0.250 0.250 0.250 Ag
0.750 0.750 0.750 Ge
0.500 0.500 0.500 Pd

[7]
PBE PrCuAgGe2, relaxed; raw total energy = -4.568 eV per atom
1.0
-2.135 2.135 5.362
2.135 -2.135 5.362
2.135 2.135 -5.362
Pr Cu Ag Ge
1 1 1 2
direct
0.000 0.000 0.000 Pr
0.750 0.250 0.500 Cu
0.250 0.750 0.500 Ag
0.384 0.384 0.000 Ge
0.616 0.616 0.000 Ge

[8]
PBE CuReAgGe, relaxed; polymorph energy (0 for the lowest one) = 0 meV/atom; raw total energy = -5.349 eV per atom
1.0
0.000 3.103 3.103
3.103 0.000 3.103
3.103 3.103 0.000
Cu Re Ag Ge
1 1 1 1
direct
0.000 0.000 0.000 Cu
0.500 0.500 0.500 Re
0.250 0.250 0.250 Ag
0.750 0.750 0.750 Ge

- Which value of raw total energy does entry 2 give?
  -4.836 eV per atom

- raw total energy of number 1 (NdCuAgGe2)?
  -4.561 eV per atom

- raw total energy of number 3 (CuNiAgGe)?
  -4.123 eV per atom